The following is a DFT calculation (PBE) of a relaxed structure of RbPd3Br.

As for the energy above the most stable polymorph in this dataset: 0.000 kcal/mol of atoms. The value obtained for the calculated density is 6.6 g cm⁻³. The calculated volume comes out at 122.74 Å³ per cell. The crystal system is cubic.

The structure belongs to space group Pm-3m (No. 221); the cell edges are 4.970, 4.970 and 4.970 Å and the angles 90.00°, 90.00° and 90.00°. The inequivalent atoms are Rb at (0.000, 0.000, 0.000), Pd at (0.000, 0.500, 0.500) and Br at (0.500, 0.500, 0.500).